No. 1
A relaxed AcNd2Cu2Sn2 crystal, computed with PBE-GGA.

It has space group R-3m (No. 166, hexagonal axes), with a = 4.6696 Å, b = 4.6696 Å, c = 29.9227 Å, α = 90.00°, β = 90.00° and γ = 120.00°. The asymmetric unit holds Ac at (0.0000, 0.0000, 0.0000), Nd at (0.0000, 0.0000, 0.1311), Cu at (0.0000, 0.0000, 0.4154) and Sn at (0.0000, 0.0000, 0.2595).

The calculation puts the energy of formation at -0.416 eV per atom.

***

No. 2
A relaxed AcNdCu2Te4 crystal, computed with PBE-GGA.

It has space group I222 (No. 23), with a = 7.458 Å, b = 7.850 Å, c = 8.567 Å, α = 90.00°, β = 90.00° and γ = 90.00°. The asymmetric unit holds Ac at (0.000, 0.000, 0.000), Nd at (0.000, 0.000, 0.500), Cu at (0.000, 0.500, 0.146) and Te at (0.242, 0.288, 0.791).

The value obtained for the uncorrected formation energy is -78.37 kJ/mol of atoms.

***

No. 3
A relaxed Ac2CuNi3 crystal, computed with PBE-GGA.

It has space group Fmmm (No. 69), with a = 8.337 Å, b = 8.410 Å, c = 14.591 Å, α = 90.00°, β = 90.00° and γ = 90.00°. The asymmetric unit holds Ac at (0.249, 0.000, 0.000), Ac at (0.250, 0.250, 0.250), Cu at (0.000, 0.000, 0.334), Ni at (0.000, 0.000, 0.165) and Ni at (0.000, 0.246, 0.082).

The calculation puts the energy of formation at -0.253 eV per atom. The value obtained for the relative energy among the computed polymorphs is 0.0000 eV per atom.